Al5Fe3 | meta-GGA SCAN | PBEsol geometry

Computed properties:
DFT total energy   -11.89 eV/atom
Total magnetization   2.71 Bohr magnetons per cell
Formation enthalpy at 0 K   -23.38 kJ per mole of atoms

abc: 6.6737 7.5260 3.9338
angles: 90.00 90.00 90.00
With the nearest neighbours (Å) after each atom.
Space group Cmmm (No. 65)
Inequivalent atoms, fractional coordinates:
Al1 0.0000 0.0000 0.0000  8 Al 2.51-2.78, 4 Fe 2.53
Al2 0.2051 0.5000 0.5000  6 Fe 2.40-2.57
Al3 0.2500 0.2500 0.0000  6 Fe 2.51-2.60, 6 Al 2.51-2.74
Fe1 0.0000 0.2114 0.5000  10 Al 2.53-2.60
Fe2 0.0000 0.5000 0.0000  8 Al 2.40-2.51